Below is LaBi2WO after structural relaxation, with properties calculated at the PBE+U level.

Geometry as POSCAR:
```
LaBi2WO
1.0
5.2741 0.0000 0.0000
0.0000 4.6265 0.0000
0.0000 0.0000 5.2741
La O Bi W
1 1 2 1
Direct
0.0000 0.5000 0.0000
0.0000 0.0000 0.0000
0.0000 0.0000 0.5000
0.5000 0.0000 0.0000
0.5000 0.5000 0.5000
```

Raw total energy = -5.2698 eV/atom